Material: V4PdRh
Method: DFT, PBE
State: relaxed

The space group is F-43m (No. 216) and the conventional cell measures 6.9018, 6.9018 and 6.9018 Å, with angles of 90.00, 90.00 and 90.00 degrees. The inequivalent atoms are V at (0.1245, 0.1245, 0.1245), Pd at (0.0000, 0.0000, 0.5000) and Rh at (0.2500, 0.2500, 0.7500).

As for the formation energy: -0.8 eV per formula unit.

=====

Material: V2Pd3Rh
Method: DFT, PBE
State: relaxed

The space group is Cmmm (No. 65) and the conventional cell measures 3.8576, 11.5654 and 3.9071 Å, with angles of 90.00, 90.00 and 90.00 degrees. The inequivalent atoms are V at (0.0000, 0.1612, 0.0000), Pd at (0.0000, 0.0000, 0.5000), Pd at (0.0000, 0.3308, 0.5000) and Rh at (0.0000, 0.5000, 0.0000).

As for the formation energy: -1.2 eV per formula unit. For the energy relative to the lowest polymorph listed for this composition, the calculation gives 0.0 meV per atom.

=====

Material: V5PdRh4
Method: DFT, PBE
State: relaxed

The space group is P4/mmm (No. 123) and the conventional cell measures 3.2200, 3.2200 and 13.6185 Å, with angles of 90.00, 90.00 and 90.00 degrees. The inequivalent atoms are V at (0.0000, 0.0000, 0.0000), V at (0.0000, 0.0000, 0.1961), V at (0.0000, 0.0000, 0.3899), Pd at (0.5000, 0.5000, 0.5000), Rh at (0.5000, 0.5000, 0.1000) and Rh at (0.5000, 0.5000, 0.3005).

As for the formation energy: -1.8 eV per formula unit. For the energy relative to the lowest polymorph listed for this composition, the calculation gives 149.8 meV per atom.